1.
Below is a relaxed Ag6HgCl8 crystal, with properties calculated at the GGA-PBE level.

Computed properties:
calculated total energy = -2.57 eV/atom
total moment = 0.000 μB per atom

a = 6.507 Å, b = 8.522 Å, c = 8.522 Å
α = 120.00°, β = 90.00°, γ = 90.00°
Element x y z (fractional)
Ag  0.110  0.314  0.378
Ag  0.890  0.935  0.314
Ag  0.110  0.622  0.935
Ag  0.110  0.065  0.686
Ag  0.890  0.378  0.065
Ag  0.890  0.686  0.622
Hg  0.500  0.000  0.000
Cl  0.770  0.667  0.333
Cl  0.275  0.800  0.690
Cl  0.725  0.690  0.889
Cl  0.725  0.111  0.800
Cl  0.275  0.310  0.111
Cl  0.725  0.200  0.310
Cl  0.275  0.889  0.200
Cl  0.230  0.333  0.667

---

2.
Below is a relaxed Ac4Tl3N2 crystal, with properties calculated at the GGA-PBE level.

Computed properties:
calculated total energy = -5.13 eV/atom
total moment = 0.000 μB per atom

a = 4.133 Å, b = 7.511 Å, c = 10.184 Å
α = 106.26°, β = 90.00°, γ = 105.97°
Element x y z (fractional)
Ac  0.133  0.266  0.445
Ac  0.297  0.594  0.852
Ac  0.703  0.406  0.148
Ac  0.867  0.734  0.555
Tl  0.583  0.166  0.766
Tl  0.417  0.834  0.234
Tl  0.000  0.000  0.000
N  0.293  0.587  0.622
N  0.707  0.413  0.378

---

3.
Below is a relaxed Pu4Zn2Ga5 crystal, with properties calculated at the GGA-PBE level.

Computed properties:
ΔE_f = -255 meV/atom
calculated total energy = -7.07 eV/atom
total moment = 1.980 μB per atom

a = 2.932 Å, b = 7.994 Å, c = 9.882 Å
α = 76.35°, β = 90.00°, γ = 90.00°
Last column: magnetic moment on the atom in μB.
Element x y z (fractional)
Ga  0.000  0.884  0.861  -0.04
Ga  0.000  0.628  0.399  -0.06
Ga  0.000  0.500  0.000  -0.07
Ga  0.000  0.372  0.601  -0.06
Ga  0.000  0.116  0.139  -0.04
Zn  0.000  0.943  0.395  -0.03
Zn  0.000  0.057  0.605  -0.03
Pu  0.500  0.776  0.133  5.34
Pu  0.500  0.324  0.317  5.41
Pu  0.500  0.676  0.683  5.41
Pu  0.500  0.224  0.867  5.34

---

4.
Below is a relaxed TbHo2HgO crystal, with properties calculated at the GGA-PBE level.

Computed properties:
calculated total energy = -5.20 eV/atom
total moment = 0.000 μB per atom

a = 4.782 Å, b = 4.739 Å, c = 4.739 Å
α = 90.00°, β = 90.00°, γ = 90.00°
Element x y z (fractional)
Tb  0.500  0.000  0.000
Ho  0.000  0.000  0.500
Ho  0.000  0.500  0.000
Hg  0.500  0.500  0.500
O  0.000  0.000  0.000